Hg3AsBr4: relaxed, GGA-PBE.

Cell and atoms, written as CIF:
```
data_Hg3AsBr4
_cell_length_a 14.206
_cell_length_b 7.046
_cell_length_c 12.563
_cell_angle_alpha 90.00
_cell_angle_beta 110.35
_cell_angle_gamma 90.00
_symmetry_space_group_name_H-M 'C 1 c 1'
_symmetry_Int_Tables_number 9
loop_
_symmetry_equiv_pos_as_xyz
'x,y,z'
'x,-y,z+1/2'
'x+1/2,y+1/2,z'
'x+1/2,-y+1/2,z+1/2'
loop_
_atom_site_label
_atom_site_fract_x
_atom_site_fract_y
_atom_site_fract_z
Hg1 0.000 0.014 0.000
Hg2 0.151 0.456 0.570
Hg3 0.433 0.072 0.771
As1 0.094 0.209 0.415
Br1 0.020 0.270 0.745
Br2 0.196 0.232 0.177
Br3 0.297 0.257 0.813
Br4 0.382 0.235 0.534
```

**E_form (uncorrected)**: -22.74 kJ per mole of atoms
**E**: -1.77 eV per atom

---

DyYNi: relaxed, GGA-PBE.

Cell and atoms, written as CIF:
```
data_DyYNi
_cell_length_a 3.409
_cell_length_b 3.409
_cell_length_c 12.467
_cell_angle_alpha 90.00
_cell_angle_beta 90.00
_cell_angle_gamma 90.00
_symmetry_space_group_name_H-M 'I 4 m m'
_symmetry_Int_Tables_number 107
_symmetry_space_group_name_Hall 'I 4 -2'
loop_
_atom_site_label
_atom_site_fract_x
_atom_site_fract_y
_atom_site_fract_z
Dy1 0.000 0.000 0.000
Y1 0.000 0.000 0.738
Ni1 0.000 0.000 0.371
```

**Energy relative to the elements**: -0.238 eV per atom
**ΔE to the lowest computed polymorph**: 61 meV/atom
**Fermi-level density of states**: 2.6 states/eV/f.u.
**E**: -5.85 eV per atom

---

In3GaBi: relaxed, GGA-PBE.

Cell and atoms, written as CIF:
```
data_In3GaBi
_cell_length_a 5.897
_cell_length_b 5.897
_cell_length_c 5.897
_cell_angle_alpha 90.00
_cell_angle_beta 90.00
_cell_angle_gamma 90.00
_symmetry_space_group_name_H-M 'P m -3 m'
_symmetry_Int_Tables_number 221
_symmetry_space_group_name_Hall '-P 4 2 3'
loop_
_atom_site_label
_atom_site_fract_x
_atom_site_fract_y
_atom_site_fract_z
In1 0.000 0.000 0.500
Ga1 0.500 0.500 0.500
Bi1 0.000 0.000 0.000
```

**Energy relative to the elements**: 0.636 eV per atom
**ΔE to the lowest computed polymorph**: 598 meV/atom
**Fermi-level density of states**: 4.2 states/eV/f.u.
**E**: -2.39 eV per atom

---

Be2IrOs2: relaxed, GGA-PBE.

Cell and atoms, written as CIF:
```
data_Be2IrOs2
_cell_length_a 6.330
_cell_length_b 6.330
_cell_length_c 2.908
_cell_angle_alpha 90.00
_cell_angle_beta 90.00
_cell_angle_gamma 90.00
_symmetry_space_group_name_H-M 'P 4/m b m'
_symmetry_Int_Tables_number 127
_symmetry_space_group_name_Hall '-P 4 2ab'
loop_
_atom_site_label
_atom_site_fract_x
_atom_site_fract_y
_atom_site_fract_z
Be1 0.124 0.376 0.000
Ir1 0.000 0.000 0.000
Os1 0.169 0.669 0.500
```

**Energy relative to the elements**: -0.038 eV per atom
**Fermi-level density of states**: 5.0 states/eV/f.u.
**E**: -7.79 eV per atom

---

Rb3Hg3Sb: relaxed, GGA-PBE.

Cell and atoms, written as CIF:
```
data_Rb3Hg3Sb
_cell_length_a 13.341
_cell_length_b 5.060
_cell_length_c 18.580
_cell_angle_alpha 90.00
_cell_angle_beta 107.06
_cell_angle_gamma 90.00
_symmetry_space_group_name_H-M 'C 1 2/m 1'
_symmetry_Int_Tables_number 12
loop_
_symmetry_equiv_pos_as_xyz
'x,y,z'
'-x,-y,-z'
'-x,y,-z'
'x,-y,z'
'x+1/2,y+1/2,z'
'-x+1/2,-y+1/2,-z'
'-x+1/2,y+1/2,-z'
'x+1/2,-y+1/2,z'
loop_
_atom_site_label
_atom_site_fract_x
_atom_site_fract_y
_atom_site_fract_z
Rb1 0.059 0.000 0.274
Rb2 0.177 0.000 0.577
Rb3 0.182 0.500 0.088
Hg1 0.034 0.500 0.426
Hg2 0.045 0.000 0.936
Hg3 0.155 0.500 0.724
Sb1 0.087 0.500 0.867
```

**E_form (uncorrected)**: -28.57 kJ per mole of atoms
**Fermi-level density of states**: 2.5 states/eV/f.u.
**E**: -1.43 eV per atom

---

NaYMg6: relaxed, GGA-PBE.

Cell and atoms, written as CIF:
```
data_NaYMg6
_cell_length_a 5.087
_cell_length_b 7.765
_cell_length_c 10.415
_cell_angle_alpha 90.00
_cell_angle_beta 90.00
_cell_angle_gamma 90.00
_symmetry_space_group_name_H-M 'A m m 2'
_symmetry_Int_Tables_number 38
loop_
_symmetry_equiv_pos_as_xyz
'x,y,z'
'-x,-y,z'
'-x,y,z'
'x,-y,z'
'x,y+1/2,z+1/2'
'-x,-y+1/2,z+1/2'
'-x,y+1/2,z+1/2'
'x,-y+1/2,z+1/2'
loop_
_atom_site_label
_atom_site_fract_x
_atom_site_fract_y
_atom_site_fract_z
Na1 0.000 0.000 0.000
Y1 0.000 0.000 0.437
Mg1 0.000 0.206 0.717
Mg2 0.500 0.000 0.209
Mg3 0.500 0.000 0.647
Mg4 0.500 0.219 0.923
```

**Energy relative to the elements**: 0.041 eV per atom
**ΔE to the lowest computed polymorph**: 0 meV/atom
**Fermi-level density of states**: 5.8 states/eV/f.u.
**E**: -2.13 eV per atom

---

Mg2AlPd: relaxed, GGA-PBE.

Cell and atoms, written as CIF:
```
data_Mg2AlPd
_cell_length_a 4.072
_cell_length_b 4.072
_cell_length_c 4.150
_cell_angle_alpha 90.00
_cell_angle_beta 90.00
_cell_angle_gamma 90.00
_symmetry_space_group_name_H-M 'P 4/m m m'
_symmetry_Int_Tables_number 123
_symmetry_space_group_name_Hall '-P 4 2'
loop_
_atom_site_label
_atom_site_fract_x
_atom_site_fract_y
_atom_site_fract_z
Mg1 0.000 0.500 0.000
Al1 0.000 0.000 0.500
Pd1 0.500 0.500 0.500
```

**Energy relative to the elements**: -0.385 eV per atom
**Fermi-level density of states**: 2.2 states/eV/f.u.
**E**: -3.42 eV per atom

---

CoPPb3: relaxed, GGA-PBE.

Cell and atoms, written as CIF:
```
data_CoPPb3
_cell_length_a 5.022
_cell_length_b 5.022
_cell_length_c 5.022
_cell_angle_alpha 90.00
_cell_angle_beta 90.00
_cell_angle_gamma 90.00
_symmetry_space_group_name_H-M 'P m -3 m'
_symmetry_Int_Tables_number 221
_symmetry_space_group_name_Hall '-P 4 2 3'
loop_
_atom_site_label
_atom_site_fract_x
_atom_site_fract_y
_atom_site_fract_z
Co1 0.000 0.000 0.000
P1 0.500 0.500 0.500
Pb1 0.000 0.000 0.500
```

**Energy relative to the elements**: 0.356 eV per atom
**ΔE to the lowest computed polymorph**: 0 meV/atom
**Fermi-level density of states**: 0.8 states/eV/f.u.
**E**: -4.37 eV per atom

---

LiCa2Co: relaxed, GGA-PBE.

Cell and atoms, written as CIF:
```
data_LiCa2Co
_cell_length_a 7.097
_cell_length_b 7.097
_cell_length_c 7.097
_cell_angle_alpha 90.00
_cell_angle_beta 90.00
_cell_angle_gamma 90.00
_symmetry_space_group_name_H-M 'F -4 3 m'
_symmetry_Int_Tables_number 216
_symmetry_space_group_name_Hall 'F -4 2 3'
loop_
_atom_site_label
_atom_site_fract_x
_atom_site_fract_y
_atom_site_fract_z
Li1 0.000 0.000 0.000
Ca1 0.000 0.000 0.500
Ca2 0.250 0.250 0.250
Co1 0.250 0.250 0.750
```

**Energy relative to the elements**: 0.459 eV per atom
**Fermi-level density of states**: 1.7 states/eV/f.u.
**E**: -2.80 eV per atom

---

GaAg4Sn: relaxed, GGA-PBE.

Cell and atoms, written as CIF:
```
data_GaAg4Sn
_cell_length_a 5.688
_cell_length_b 6.994
_cell_length_c 7.048
_cell_angle_alpha 65.66
_cell_angle_beta 66.27
_cell_angle_gamma 76.04
_symmetry_space_group_name_H-M 'P -1'
_symmetry_Int_Tables_number 2
loop_
_symmetry_equiv_pos_as_xyz
'x,y,z'
'-x,-y,-z'
loop_
_atom_site_label
_atom_site_fract_x
_atom_site_fract_y
_atom_site_fract_z
Ga1 0.055 0.254 0.327
Ag1 0.005 0.085 0.763
Ag2 0.205 0.351 0.886
Ag3 0.285 0.507 0.414
Ag4 0.426 0.886 0.399
Sn1 0.358 0.724 0.916
```

**Energy relative to the elements**: 0.032 eV per atom
**ΔE to the lowest computed polymorph**: 21 meV/atom
**Fermi-level density of states**: 1.1 states/eV/f.u.
**E**: -3.04 eV per atom

---

CoNi4Ge: relaxed, GGA-PBE.

Cell and atoms, written as CIF:
```
data_CoNi4Ge
_cell_length_a 6.093
_cell_length_b 6.093
_cell_length_c 8.360
_cell_angle_alpha 90.00
_cell_angle_beta 90.00
_cell_angle_gamma 90.00
_symmetry_space_group_name_H-M 'I 41/a'
_symmetry_Int_Tables_number 88
loop_
_symmetry_equiv_pos_as_xyz
'x,y,z'
'-x,-y,-z'
'-y+3/4,x+1/4,z+1/4'
'y+3/4,-x+1/4,-z+1/4'
'-x+1/2,-y,z+1/2'
'x+1/2,y,-z+1/2'
'y+3/4,-x+3/4,z+3/4'
'-y+3/4,x+3/4,-z+3/4'
'x+1/2,y+1/2,z+1/2'
'-x+1/2,-y+1/2,-z+1/2'
'-y+1/4,x+3/4,z+3/4'
'y+1/4,-x+3/4,-z+3/4'
'-x,-y+1/2,z'
'x,y+1/2,-z'
'y+1/4,-x+1/4,z+1/4'
'-y+1/4,x+1/4,-z+1/4'
loop_
_atom_site_label
_atom_site_fract_x
_atom_site_fract_y
_atom_site_fract_z
Co1 0.000 0.250 0.125
Ni1 0.139 0.391 0.876
Ge1 0.000 0.250 0.625
```

**Energy relative to the elements**: 0.242 eV per atom
**ΔE to the lowest computed polymorph**: 261 meV/atom
**Fermi-level density of states**: 5.4 states/eV/f.u.
**E**: -5.57 eV per atom

---

CoCuHg: relaxed, GGA-PBE.

Cell and atoms, written as CIF:
```
data_CoCuHg
_cell_length_a 5.900
_cell_length_b 5.900
_cell_length_c 5.900
_cell_angle_alpha 90.00
_cell_angle_beta 90.00
_cell_angle_gamma 90.00
_symmetry_space_group_name_H-M 'F -4 3 m'
_symmetry_Int_Tables_number 216
_symmetry_space_group_name_Hall 'F -4 2 3'
loop_
_atom_site_label
_atom_site_fract_x
_atom_site_fract_y
_atom_site_fract_z
Co1 0.000 0.000 0.000
Cu1 0.250 0.250 0.750
Hg1 0.000 0.000 0.500
```

**Energy relative to the elements**: 0.638 eV per atom
**ΔE to the lowest computed polymorph**: 259 meV/atom
**Fermi-level density of states**: 7.5 states/eV/f.u.
**E**: -3.20 eV per atom